A geometry-optimized AcW2O8 structure. Source: Alexandria, functional PBE with a Hubbard U.

Cell lengths 4.8705, 4.8705, 12.1799 Å; angles 90.00, 90.00, 90.00 degrees
Closest atoms and distances in Å follow each position.
Space group I4/mmm (No. 139)
Unique sites:
Ac 0.0000 0.0000 0.0000 x2  8 O 2.55
W 0.0000 0.5000 0.2500 x4  8 O 2.08
O 0.2494 0.2494 0.3459 x16  2 W 2.08

uncorrected energy	-155.7	eV for the cell shown
spin magnetization	0.000	μB/f.u.